Crystalline SmDy3Tm2S6 at its relaxed geometry, computed with PBE-GGA.

It has space group C2/m (No. 12), with a = 6.745 Å, b = 11.732 Å, c = 6.752 Å, α = 90.00°, β = 109.51° and γ = 90.00°. The inequivalent atoms are Sm at (0.000, 0.000, 0.000), Dy at (0.000, 0.162, 0.500), Dy at (0.000, 0.500, 0.500), Tm at (0.000, 0.334, 0.000), S at (0.239, 0.500, 0.247) and S at (0.245, 0.328, 0.750).

As for the total energy: -0.23269 Ha/atom.